Entry 1:
SrSiSb2 after structural relaxation, computed with PBE-GGA.

Results
Crystal system: orthorhombic
Calculated volume, Å³/cell: 252

Cell lengths 4.080, 4.888, 12.631 Å; angles 90.00, 90.00, 90.00 degrees
Space group Amm2 (No. 38)
Unique sites:
Sr: 0.000 0.000 0.000 [2 per cell]
Si: 0.500 0.000 0.595 [2 per cell]
Sb: 0.000 0.000 0.722 [2 per cell]
Sb: 0.500 0.000 0.394 [2 per cell]

Entry 2:
Sr2SiSb after structural relaxation, computed with PBE-GGA.

Results
ΔE to the lowest computed polymorph, eV/atom: 0.054
Crystal system: cubic
Calculated volume, Å³/cell: 493

Cell lengths 7.900, 7.900, 7.900 Å; angles 90.00, 90.00, 90.00 degrees
Space group Fm-3m (No. 225)
Unique sites:
Sr: 0.250 0.250 0.250 [8 per cell]
Si: 0.000 0.000 0.000 [4 per cell]
Sb: 0.000 0.000 0.500 [4 per cell]

Entry 3:
SrSiSb2 after structural relaxation, computed with PBE-GGA.

Results
Crystal system: trigonal
Calculated volume, Å³/cell: 350

Cell lengths 4.9959, 4.9959, 16.2148 Å; angles 90.00, 90.00, 120.00 degrees
Space group R-3m (No. 166, hexagonal axes)
Unique sites:
Sr: 0.0000 0.0000 0.0000 [3 per cell]
Si: 0.0000 0.0000 0.5000 [3 per cell]
Sb: 0.0000 0.0000 0.2108 [6 per cell]

no.,formation energy from raw total energies (eV/atom)
1,-0.2493
2,-0.4206
3,-0.1106